Material: ThCo2P2Ir
Method: DFT, PBE
State: relaxed

Structure (CIF):
```
data_ThCo2P2Ir
_chemical_formula_sum 'Th1 Co2 P2 Ir1'
_symmetry_space_group_name_H-M 'P -3 m 1'
_symmetry_Int_Tables_number 164
_symmetry_space_group_name_Hall '-P 3 2"'
_cell_length_a 3.9468
_cell_length_b 3.9468
_cell_length_c 6.6353
_cell_angle_alpha 90.00
_cell_angle_beta 90.00
_cell_angle_gamma 120.00
loop_
_atom_site_label
_atom_site_type_symbol
_atom_site_fract_x
_atom_site_fract_y
_atom_site_fract_z
Th1 Th 0.0000 0.0000 0.0000
Co1 Co 0.3333 0.6667 0.6997
P1 P 0.3333 0.6667 0.3075
Ir1 Ir 0.0000 0.0000 0.5000
```


Material: Be2TlZn
Method: DFT, PBE
State: relaxed

Summary:
Offset from the most stable computed form = 80 kJ/mol of formula units

Structure (CIF):
```
data_Be2TlZn
_chemical_formula_sum 'Be2 Tl1 Zn1'
_symmetry_space_group_name_H-M 'P 1 m 1'
_symmetry_Int_Tables_number 6
_symmetry_space_group_name_Hall 'P -2y'
_cell_length_a 3.480
_cell_length_b 3.868
_cell_length_c 4.786
_cell_angle_alpha 90.00
_cell_angle_beta 107.33
_cell_angle_gamma 90.00
loop_
_atom_site_label
_atom_site_type_symbol
_atom_site_fract_x
_atom_site_fract_y
_atom_site_fract_z
Be1 Be 0.000 0.000 0.000
Be2 Be 0.118 0.500 0.245
Tl1 Tl 0.695 0.000 0.452
Zn1 Zn 0.440 0.500 0.858
```


Material: CsBiPt2Pb
Method: DFT, PBE
State: relaxed

Structure (CIF):
```
data_CsBiPt2Pb
_chemical_formula_sum 'Cs2 Bi2 Pt4 Pb2'
_symmetry_space_group_name_H-M 'P 1 21/m 1'
_symmetry_Int_Tables_number 11
_symmetry_space_group_name_Hall '-P 2yb'
_cell_length_a 8.088
_cell_length_b 4.467
_cell_length_c 9.866
_cell_angle_alpha 90.00
_cell_angle_beta 106.92
_cell_angle_gamma 90.00
loop_
_atom_site_label
_atom_site_type_symbol
_atom_site_fract_x
_atom_site_fract_y
_atom_site_fract_z
Cs1 Cs 0.215 0.250 0.258
Bi1 Bi 0.219 0.250 0.871
Pt1 Pt 0.068 0.250 0.579
Pt2 Pt 0.421 0.750 0.928
Pb1 Pb 0.288 0.750 0.623
```


Material: LaCd3H
Method: DFT, PBE
State: relaxed

Summary:
Offset from the most stable computed form = 0 kJ/mol of formula units

Structure (CIF):
```
data_LaCd3H
_chemical_formula_sum 'La1 Cd3 H1'
_symmetry_space_group_name_H-M 'P m -3 m'
_symmetry_Int_Tables_number 221
_symmetry_space_group_name_Hall '-P 4 2 3'
_cell_length_a 4.823
_cell_length_b 4.823
_cell_length_c 4.823
_cell_angle_alpha 90.00
_cell_angle_beta 90.00
_cell_angle_gamma 90.00
loop_
_atom_site_label
_atom_site_type_symbol
_atom_site_fract_x
_atom_site_fract_y
_atom_site_fract_z
La1 La 0.000 0.000 0.000
Cd1 Cd 0.000 0.500 0.500
H1 H 0.500 0.500 0.500
```


Material: SnAs2BrF
Method: DFT, PBE
State: relaxed

Summary:
Offset from the most stable computed form = 0 kJ/mol of formula units
Uncorrected formation energy = -0.052 eV per formula unit

Structure (CIF):
```
data_SnAs2BrF
_chemical_formula_sum 'Sn1 As2 Br1 F1'
_symmetry_space_group_name_H-M 'P 4/m m m'
_symmetry_Int_Tables_number 123
_symmetry_space_group_name_Hall '-P 4 2'
_cell_length_a 4.403
_cell_length_b 4.403
_cell_length_c 6.001
_cell_angle_alpha 90.00
_cell_angle_beta 90.00
_cell_angle_gamma 90.00
loop_
_atom_site_label
_atom_site_type_symbol
_atom_site_fract_x
_atom_site_fract_y
_atom_site_fract_z
Sn1 Sn 0.000 0.000 0.000
As1 As 0.000 0.500 0.500
Br1 Br 0.500 0.500 0.000
F1 F 0.500 0.500 0.500
```


Material: Mg8Zn3Pb2
Method: DFT, PBE
State: relaxed

Structure (CIF):
```
data_Mg8Zn3Pb2
_chemical_formula_sum 'Mg8 Zn3 Pb2'
_symmetry_space_group_name_H-M 'P 1 2/m 1'
_symmetry_Int_Tables_number 10
_symmetry_space_group_name_Hall '-P 2y'
_cell_length_a 8.394
_cell_length_b 4.668
_cell_length_c 8.449
_cell_angle_alpha 90.00
_cell_angle_beta 112.21
_cell_angle_gamma 90.00
loop_
_atom_site_label
_atom_site_type_symbol
_atom_site_fract_x
_atom_site_fract_y
_atom_site_fract_z
Mg1 Mg 0.112 0.000 0.390
Mg2 Mg 0.131 0.500 0.868
Mg3 Mg 0.363 0.500 0.633
Mg4 Mg 0.377 0.000 0.123
Zn1 Zn 0.256 0.000 0.757
Zn2 Zn 0.500 0.500 0.000
Pb1 Pb 0.248 0.500 0.258
```


no.,calculated total energy (eV per cell)
1,-45.5
2,-9.1
3,-43.8
4,-10.5
5,-16.9
6,-24.1